Material: PrEuBiPd
Method: DFT, PBE
State: relaxed

POSCAR file:
```
PrEuBiPd
1.0
0.0000 3.8388 3.8388
3.8388 0.0000 3.8388
3.8388 3.8388 0.0000
Pr Eu Bi Pd
1 1 1 1
direct
0.0000 0.0000 0.0000
0.5000 0.5000 0.5000
0.2500 0.2500 0.2500
0.7500 0.7500 0.7500
```

Calculated values
theoretical density	8.9	g cm⁻³
energy of formation	-701.1	meV/atom


Material: EuBiPdPt
Method: DFT, PBE
State: relaxed

POSCAR file:
```
EuBiPdPt
1.0
0.0000 3.5297 3.5297
3.5297 0.0000 3.5297
3.5297 3.5297 0.0000
Eu Bi Pd Pt
1 1 1 1
direct
0.0000 0.0000 0.0000
0.5000 0.5000 0.5000
0.2500 0.2500 0.2500
0.7500 0.7500 0.7500
```

Calculated values
theoretical density	12.5	g cm⁻³
energy of formation	-563.1	meV/atom


Material: EuBiPdRh
Method: DFT, PBE
State: relaxed

POSCAR file:
```
EuBiPdRh
1.0
0.0000 3.4786 3.4786
3.4786 0.0000 3.4786
3.4786 3.4786 0.0000
Eu Bi Pd Rh
1 1 1 1
direct
0.0000 0.0000 0.0000
0.5000 0.5000 0.5000
0.7500 0.7500 0.7500
0.2500 0.2500 0.2500
```

Calculated values
theoretical density	11.2	g cm⁻³
energy of formation	-400.7	meV/atom


Material: PmEu2Bi
Method: DFT, PBE
State: relaxed

POSCAR file:
```
PmEu2Bi
1.0
5.0108 0.0000 0.0000
0.0000 5.0108 0.0000
0.0000 0.0000 5.2370
Pm Eu Bi
1 2 1
direct
0.0000 0.0000 0.0000
0.0000 0.5000 0.5000
0.5000 0.0000 0.5000
0.5000 0.5000 0.0000
```

Calculated values
theoretical density	8.3	g cm⁻³
energy of formation	-417.2	meV/atom


Material: PmEuBiPt
Method: DFT, PBE
State: relaxed

POSCAR file:
```
PmEuBiPt
1.0
0.0000 3.7940 3.7940
3.7940 0.0000 3.7940
3.7940 3.7940 0.0000
Pm Eu Bi Pt
1 1 1 1
direct
0.0000 0.0000 0.0000
0.5000 0.5000 0.5000
0.2500 0.2500 0.2500
0.7500 0.7500 0.7500
```

Calculated values
theoretical density	10.7	g cm⁻³
energy of formation	-804.3	meV/atom


Material: PmEuBiRh
Method: DFT, PBE
State: relaxed

POSCAR file:
```
PmEuBiRh
1.0
0.0000 3.6650 3.6650
3.6650 0.0000 3.6650
3.6650 3.6650 0.0000
Pm Eu Bi Rh
1 1 1 1
direct
0.0000 0.0000 0.0000
0.2500 0.2500 0.2500
0.5000 0.5000 0.5000
0.7500 0.7500 0.7500
```

Calculated values
theoretical density	10.3	g cm⁻³
energy of formation	-334.8	meV/atom


Material: PmEuBiSb
Method: DFT, PBE
State: relaxed

POSCAR file:
```
PmEuBiSb
1.0
0.0000 3.9591 3.9591
3.9591 0.0000 3.9591
3.9591 3.9591 0.0000
Pm Eu Bi Sb
1 1 1 1
direct
0.0000 0.0000 0.0000
0.5000 0.5000 0.5000
0.7500 0.7500 0.7500
0.2500 0.2500 0.2500
```

Calculated values
theoretical density	8.4	g cm⁻³
ΔE_f (raw)	-0.7766	eV per atom


Material: PmEuSnBi
Method: DFT, PBE
State: relaxed

POSCAR file:
```
PmEuSnBi
1.0
0.0000 3.9563 3.9563
3.9563 0.0000 3.9563
3.9563 3.9563 0.0000
Pm Eu Sn Bi
1 1 1 1
direct
0.0000 0.0000 0.0000
0.5000 0.5000 0.5000
0.7500 0.7500 0.7500
0.2500 0.2500 0.2500
```

Calculated values
theoretical density	8.4	g cm⁻³
energy of formation	-605.7	meV/atom


Material: PmEuTlBi
Method: DFT, PBE
State: relaxed

POSCAR file:
```
PmEuTlBi
1.0
0.0000 3.9650 3.9650
3.9650 0.0000 3.9650
3.9650 3.9650 0.0000
Pm Eu Tl Bi
1 1 1 1
direct
0.0000 0.0000 0.0000
0.5000 0.5000 0.5000
0.7500 0.7500 0.7500
0.2500 0.2500 0.2500
```

Calculated values
theoretical density	9.5	g cm⁻³
energy of formation	-503.1	meV/atom


Material: PrEu2Bi
Method: DFT, PBE
State: relaxed

POSCAR file:
```
PrEu2Bi
1.0
5.0494 0.0000 0.0000
0.0000 5.0494 0.0000
0.0000 0.0000 5.2436
Pr Eu Bi
1 2 1
direct
0.0000 0.0000 0.0000
0.0000 0.5000 0.5000
0.5000 0.0000 0.5000
0.5000 0.5000 0.0000
```

Calculated values
theoretical density	8.1	g cm⁻³
energy of formation	-431.8	meV/atom


Material: PrEuBiSb
Method: DFT, PBE
State: relaxed

POSCAR file:
```
PrEuBiSb
1.0
0.0000 3.9858 3.9858
3.9858 0.0000 3.9858
3.9858 3.9858 0.0000
Pr Eu Bi Sb
1 1 1 1
direct
0.0000 0.0000 0.0000
0.5000 0.5000 0.5000
0.2500 0.2500 0.2500
0.7500 0.7500 0.7500
```

Calculated values
theoretical density	8.2	g cm⁻³
ΔE_f (raw)	-0.7915	eV per atom


Material: PrEuTlBi
Method: DFT, PBE
State: relaxed

POSCAR file:
```
PrEuTlBi
1.0
0.0000 3.9899 3.9899
3.9899 0.0000 3.9899
3.9899 3.9899 0.0000
Pr Eu Tl Bi
1 1 1 1
direct
0.0000 0.0000 0.0000
0.5000 0.5000 0.5000
0.7500 0.7500 0.7500
0.2500 0.2500 0.2500
```

Calculated values
theoretical density	9.2	g cm⁻³
energy of formation	-515.4	meV/atom


Material: EuBi2Pt
Method: DFT, PBE
State: relaxed

POSCAR file:
```
EuBi2Pt
1.0
2.0723 1.1964 9.5607
-2.0723 1.1964 9.5607
0.0000 -2.3929 9.5607
Eu Bi Pt
1 2 1
direct
0.0000 0.0000 0.0000
0.1173 0.1173 0.1173
0.8827 0.8827 0.8827
0.5000 0.5000 0.5000
```

Calculated values
theoretical density	8.9	g cm⁻³
energy of formation	-150.0	meV/atom


Material: EuBi2Pt
Method: DFT, PBE
State: relaxed

POSCAR file:
```
EuBi2Pt
1.0
4.7888 0.0000 0.0000
0.0000 4.7888 0.0000
0.0000 0.0000 4.4927
Eu Bi Pt
1 2 1
direct
0.0000 0.0000 0.0000
0.0000 0.5000 0.5000
0.5000 0.0000 0.5000
0.5000 0.5000 0.0000
```

Calculated values
theoretical density	12.3	g cm⁻³
energy of formation	-415.0	meV/atom


Material: Eu3BiPt
Method: DFT, PBE
State: relaxed

POSCAR file:
```
Eu3BiPt
1.0
5.6381 0.0000 0.0000
0.0000 5.6381 0.0000
0.0000 0.0000 5.6381
Eu Bi Pt
3 1 1
direct
0.0000 0.0000 0.5000
0.0000 0.5000 0.0000
0.5000 0.0000 0.0000
0.5000 0.5000 0.5000
0.0000 0.0000 0.0000
```

Calculated values
theoretical density	8.0	g cm⁻³
energy of formation	-694.5	meV/atom